No. 1
This record from the Alexandria database describes a PBEsol-optimized structure of TiRe3N. The functional is meta-GGA SCAN.

E_tot = -47.714 eV per atom
DOS at the Fermi energy = 3.254 states/eV/f.u.

a = 4.043 Å, b = 4.043 Å, c = 4.043 Å
α = 90.00°, β = 90.00°, γ = 90.00°
Space group Pm-3m (No. 221)
Unique sites:
1 Ti 0.000 0.000 0.000 [1 per cell]
2 Re 0.000 0.500 0.500 [3 per cell]
3 N 0.500 0.500 0.500 [1 per cell]

=====

No. 2
This record from the Alexandria database describes a PBEsol-optimized structure of Ca3Zn2. The functional is meta-GGA SCAN.

DOS at the Fermi energy = 3.780 states/eV/f.u.
Formation energy from the elements = -171.2 meV/atom

a = 5.0971 Å, b = 5.0971 Å, c = 6.2100 Å
α = 90.00°, β = 90.00°, γ = 120.00°
Space group P-3m1 (No. 164)
Unique sites:
1 Ca 0.0000 0.0000 0.0000 [1 per cell]
2 Ca 0.3333 0.6667 0.3365 [2 per cell]
3 Zn 0.3333 0.6667 0.8563 [2 per cell]

=====

No. 3
This record from the Alexandria database describes a PBEsol-optimized structure of UFeSi2. The functional is meta-GGA SCAN.

E_tot = -35.693 eV per atom
DOS at the Fermi energy = 3.467 states/eV/f.u.

a = 3.754 Å, b = 16.564 Å, c = 3.872 Å
α = 90.00°, β = 90.00°, γ = 90.00°
Space group Cmcm (No. 63)
Unique sites:
1 U 0.000 0.110 0.250 [4 per cell]
2 Fe 0.000 0.330 0.250 [4 per cell]
3 Si 0.000 0.251 0.750 [4 per cell]
4 Si 0.000 0.463 0.250 [4 per cell]

=====

No. 4
This record from the Alexandria database describes a PBEsol-optimized structure of LaCrAsO. The functional is meta-GGA SCAN.

E_tot = -24.033 eV per atom
DOS at the Fermi energy = 0.985 states/eV/f.u.

a = 4.056 Å, b = 4.056 Å, c = 8.653 Å
α = 90.00°, β = 90.00°, γ = 90.00°
Space group P4/nmm (No. 129, origin choice 2)
Unique sites:
1 La 0.250 0.250 0.139 [2 per cell]
2 Cr 0.250 0.750 0.500 [2 per cell]
3 As 0.250 0.250 0.652 [2 per cell]
4 O 0.250 0.750 0.000 [2 per cell]